This record from Alexandria describes a geometry-optimized LiTl3In2I6 structure. The functional is PBE.

Space-group type: C2/m (12)
Uncorrected formation energy, kJ/mol of formula units: -768

Geometry as extended XYZ:
```
12
Lattice="-7.977 2.341 -1.351 2.728 -7.329 -3.128 -0.483 -2.037 8.179" Properties=species:S:1:pos:R:3 pbc="T T T"
I -6.068 -3.991 3.147
I -1.563 -2.676 5.150
Tl 0.643 -6.682 1.268
Li 0.000 0.000 0.000
I -4.170 -4.349 -1.449
I -2.830 -6.916 2.610
Tl -6.375 -0.343 2.432
I 0.336 -3.034 0.553
In -4.392 -0.898 -1.946
Tl -2.866 -3.513 1.850
I -2.903 -0.109 1.091
In -0.857 -4.090 -2.533
```


This record from Alexandria describes a geometry-optimized AlInAu5 structure. The functional is PBE.

Space-group type: C2/c (15)
VASP energy, eV per atom: -3.383

Geometry as extended XYZ:
```
14
Lattice="-5.458 -2.712 3.009 -3.867 -2.425 -5.313 2.621 -5.034 4.105" Properties=species:S:1:pos:R:3 pbc="T T T"
Au -6.149 -6.724 0.615
Au -2.851 -6.514 4.361
Au -2.878 -3.810 3.134
Al -2.409 -4.238 -0.464
Au -2.109 -1.666 -1.215
Au -3.826 -6.361 -1.333
Au -0.555 -3.448 1.186
In 0.000 0.000 0.000
Al -4.295 -5.933 2.265
Au -4.846 -4.176 0.424
Au -4.595 -8.505 3.016
In -2.729 -1.356 1.505
Au -1.858 -5.996 1.377
Au -3.853 -3.658 -2.560
```


This record from Alexandria describes a geometry-optimized YIrSe structure. The functional is PBE.

Space-group type: I4mm (107)
Uncorrected formation energy, kJ/mol of formula units: -157

Geometry as extended XYZ:
```
3
Lattice="-3.566 -3.369 -1.540 1.323 -3.167 -3.828 2.038 1.475 4.484" Properties=species:S:1:pos:R:3 pbc="T T T"
Se -1.540 -4.488 -3.685
Y -0.773 -2.253 -1.850
Ir -2.173 -6.332 -5.200
```